CaIn2Co | PBE-GGA | relaxed

Geometry as CIF:
```
data_CaIn2Co
_space_group_name_H-M_alt 'R 3 m'
_space_group_IT_number 160
_space_group_name_Hall 'R 3 -2"'
_cell_length_a 3.6142
_cell_length_b 3.6142
_cell_length_c 25.9240
_cell_angle_alpha 90.00
_cell_angle_beta 90.00
_cell_angle_gamma 120.00
loop_
_atom_site_label
_atom_site_type_symbol
_atom_site_fract_x
_atom_site_fract_y
_atom_site_fract_z
Ca1 Ca 0.0000 0.0000 0.0000
In1 In 0.0000 0.0000 0.5315
In2 In 0.0000 0.0000 0.7718
Co1 Co 0.0000 0.0000 0.2584
```



MgTlCdHg2 | PBE-GGA | relaxed

Geometry as CIF:
```
data_MgTlCdHg2
_space_group_name_H-M_alt 'P 3 m 1'
_space_group_IT_number 156
_space_group_name_Hall 'P 3 -2"'
_cell_length_a 5.1390
_cell_length_b 5.1390
_cell_length_c 5.9593
_cell_angle_alpha 90.00
_cell_angle_beta 90.00
_cell_angle_gamma 120.00
loop_
_atom_site_label
_atom_site_type_symbol
_atom_site_fract_x
_atom_site_fract_y
_atom_site_fract_z
Mg1 Mg 0.0000 0.0000 0.0000
Tl1 Tl 0.6667 0.3333 0.2805
Cd1 Cd 0.3333 0.6667 0.5966
Hg1 Hg 0.0000 0.0000 0.5193
Hg2 Hg 0.3333 0.6667 0.0806
```



LiAlSnPd | PBE-GGA | relaxed

Geometry as CIF:
```
data_LiAlSnPd
_space_group_name_H-M_alt 'F -4 3 m'
_space_group_IT_number 216
_space_group_name_Hall 'F -4 2 3'
_cell_length_a 6.441
_cell_length_b 6.441
_cell_length_c 6.441
_cell_angle_alpha 90.00
_cell_angle_beta 90.00
_cell_angle_gamma 90.00
loop_
_atom_site_label
_atom_site_type_symbol
_atom_site_fract_x
_atom_site_fract_y
_atom_site_fract_z
Li1 Li 0.000 0.000 0.000
Al1 Al 0.250 0.250 0.750
Sn1 Sn 0.250 0.250 0.250
Pd1 Pd 0.000 0.000 0.500
```



CaCoAu2 | PBE-GGA | relaxed

Computed properties:
ΔE to the lowest computed polymorph: 22 meV per atom

Geometry as CIF:
```
data_CaCoAu2
_space_group_name_H-M_alt 'C 1 m 1'
_space_group_IT_number 8
_space_group_name_Hall 'C -2y'
_cell_length_a 7.710
_cell_length_b 4.444
_cell_length_c 5.543
_cell_angle_alpha 90.00
_cell_angle_beta 117.42
_cell_angle_gamma 90.00
loop_
_atom_site_label
_atom_site_type_symbol
_atom_site_fract_x
_atom_site_fract_y
_atom_site_fract_z
Ca1 Ca 0.000 0.000 0.000
Co1 Co 0.192 0.000 0.575
Au1 Au 0.038 0.500 0.613
Au2 Au 0.295 0.500 0.382
```



CuNi2Rh | PBE-GGA | relaxed

Geometry as CIF:
```
data_CuNi2Rh
_space_group_name_H-M_alt 'R 3 m'
_space_group_IT_number 160
_space_group_name_Hall 'R 3 -2"'
_cell_length_a 2.6099
_cell_length_b 2.6099
_cell_length_c 24.9161
_cell_angle_alpha 90.00
_cell_angle_beta 90.00
_cell_angle_gamma 120.00
loop_
_atom_site_label
_atom_site_type_symbol
_atom_site_fract_x
_atom_site_fract_y
_atom_site_fract_z
Cu1 Cu 0.0000 0.0000 0.0000
Ni1 Ni 0.0000 0.0000 0.2522
Ni2 Ni 0.0000 0.0000 0.5065
Rh1 Rh 0.0000 0.0000 0.7551
```



Number 1: raw total energy -40.8 eV per cell, E_form 23.4 kJ/mol of atoms, N(E_F) 11.962 states/eV/cell. Number 2: raw total energy -5.4 eV per cell, E_form 0.8 kJ/mol of atoms, N(E_F) 1.227 states/eV/cell. Number 3: raw total energy -66.4 eV per cell, E_form -42.2 kJ/mol of atoms, N(E_F) 6.372 states/eV/cell. Number 4: raw total energy -32.8 eV per cell, E_form -17.2 kJ/mol of atoms, N(E_F) 10.115 states/eV/cell. Number 5: raw total energy -68.2 eV per cell, E_form 7.0 kJ/mol of atoms, N(E_F) 17.243 states/eV/cell.